A:
VASP calculation (PBE-GGA) on a relaxed Sm2DyIr crystal.

Cell: 3.7828 3.7828 10.8525 Å, 79.96 79.96 60.00°
Sites, in units of the cell vectors:
1 Ir 0.5000 0.5000 0.5000
2 Sm 0.1122 0.1122 0.6635
3 Sm 0.8878 0.8878 0.3365
4 Dy 0.0000 0.0000 0.0000

## Properties
N(E_F): 5.55 states/eV/cell

---

B:
VASP calculation (PBE-GGA) on a relaxed Sm2DyIr crystal.

Cell: 6.4031 7.2796 9.6615 Å, 90.00 90.00 90.00°
Sites, in units of the cell vectors:
1 Sm 0.1735 0.6779 0.0645
2 Sm 0.3265 0.1779 0.4355
3 Sm 0.8265 0.3221 0.5645
4 Sm 0.6735 0.8221 0.9355
5 Sm 0.8265 0.3221 0.9355
6 Sm 0.6735 0.8221 0.5645
7 Sm 0.1735 0.6779 0.4355
8 Sm 0.3265 0.1779 0.0645
9 Dy 0.6424 0.5364 0.2500
10 Dy 0.8576 0.0364 0.2500
11 Dy 0.3576 0.4636 0.7500
12 Dy 0.1424 0.9636 0.7500
13 Ir 0.0480 0.3809 0.2500
14 Ir 0.4520 0.8809 0.2500
15 Ir 0.9520 0.6191 0.7500
16 Ir 0.5480 0.1191 0.7500

## Properties
N(E_F): 17.90 states/eV/cell

---

The structure with the greatest stability is B.

---

A:
VASP calculation (PBE-GGA) on a relaxed SrDy2Ir crystal.

Cell: 4.1708 4.1708 9.5466 Å, 77.38 77.38 60.00°
Sites, in units of the cell vectors:
1 Sr 0.5013 0.5013 0.4960
2 Dy 0.0488 0.0488 0.8537
3 Dy 0.2837 0.2837 0.1489
4 Ir 0.6662 0.6662 0.0014

## Properties
N(E_F): 4.12 states/eV/cell

---

B:
VASP calculation (PBE-GGA) on a relaxed SrDy2Ir crystal.

Cell: 4.1331 4.1331 9.8907 Å, 77.94 77.94 60.00°
Sites, in units of the cell vectors:
1 Sr 0.5000 0.5000 0.5000
2 Ir 0.0000 0.0000 0.0000
3 Dy 0.2851 0.2851 0.1448
4 Dy 0.7149 0.7149 0.8552

## Properties
N(E_F): 3.45 states/eV/cell

---

The structure with the greatest stability is A.

---

A:
VASP calculation (PBE-GGA) on a relaxed DyTaIr2 crystal.

Cell: 3.1087 3.1087 7.5788 Å, 90.00 90.00 90.00°
Sites, in units of the cell vectors:
1 Ir 0.0000 0.0000 0.7890
2 Ir 0.0000 0.0000 0.2110
3 Dy 0.5000 0.5000 0.5000
4 Ta 0.5000 0.5000 0.0000

## Properties
N(E_F): 3.30 states/eV/cell

---

B:
VASP calculation (PBE-GGA) on a relaxed DyTaIr2 crystal.

Cell: 3.0210 4.8801 4.8801 Å, 90.00 90.00 90.00°
Sites, in units of the cell vectors:
1 Ir 0.0000 0.0000 0.5000
2 Ir 0.0000 0.5000 0.0000
3 Dy 0.5000 0.5000 0.5000
4 Ta 0.5000 0.0000 0.0000

## Properties
N(E_F): 4.09 states/eV/cell

---

The structure with the greatest stability is A.

---

A:
VASP calculation (PBE-GGA) on a relaxed Tb2DyIr crystal.

Cell: 3.9024 6.3376 9.1880 Å, 90.00 90.00 107.92°
Sites, in units of the cell vectors:
1 Tb 0.1411 0.2823 0.4334
2 Tb 0.8589 0.7177 0.5666
3 Tb 0.8589 0.7177 0.9334
4 Tb 0.1411 0.2823 0.0666
5 Dy 0.4241 0.8483 0.2500
6 Dy 0.5759 0.1517 0.7500
7 Ir 0.7511 0.5024 0.2500
8 Ir 0.2489 0.4976 0.7500

## Properties
N(E_F): 9.38 states/eV/cell

---

B:
VASP calculation (PBE-GGA) on a relaxed Tb2DyIr crystal.

Cell: 6.3831 7.2336 9.3870 Å, 90.00 90.00 90.00°
Sites, in units of the cell vectors:
1 Tb 0.1738 0.6772 0.0633
2 Tb 0.3262 0.1772 0.4367
3 Tb 0.8262 0.3228 0.5633
4 Tb 0.6738 0.8228 0.9367
5 Tb 0.8262 0.3228 0.9367
6 Tb 0.6738 0.8228 0.5633
7 Tb 0.1738 0.6772 0.4367
8 Tb 0.3262 0.1772 0.0633
9 Dy 0.6347 0.5348 0.2500
10 Dy 0.8653 0.0348 0.2500
11 Dy 0.3653 0.4652 0.7500
12 Dy 0.1347 0.9652 0.7500
13 Ir 0.0478 0.3828 0.2500
14 Ir 0.4522 0.8828 0.2500
15 Ir 0.9522 0.6172 0.7500
16 Ir 0.5478 0.1172 0.7500

## Properties
N(E_F): 17.40 states/eV/cell

---

The structure with the greatest stability is B.

---

A:
VASP calculation (PBE-GGA) on a relaxed Tb2DyIr3 crystal.

Cell: 3.9946 5.6890 6.9931 Å, 114.00 106.60 90.00°
Sites, in units of the cell vectors:
1 Tb 0.6671 0.1671 0.3342
2 Tb 0.3329 0.8329 0.6658
3 Dy 0.0000 0.5000 0.0000
4 Ir 0.3346 0.3346 0.6692
5 Ir 0.0000 0.0000 0.0000
6 Ir 0.6654 0.6654 0.3308

## Properties
N(E_F): 2.13 states/eV/cell

---

B:
VASP calculation (PBE-GGA) on a relaxed Tb2DyIr3 crystal.

Cell: 4.8651 4.8651 5.9504 Å, 90.00 90.00 120.00°
Sites, in units of the cell vectors:
1 Tb 0.6667 0.3333 0.3330
2 Tb 0.3333 0.6667 0.6670
3 Dy 0.0000 0.0000 0.0000
4 Ir 0.0000 0.0000 0.5000
5 Ir 0.6667 0.3333 0.8345
6 Ir 0.3333 0.6667 0.1655

## Properties
N(E_F): 2.78 states/eV/cell

---

The structure with the greatest stability is B.

---

A:
VASP calculation (PBE-GGA) on a relaxed TbDy2Ir2 crystal.

Cell: 3.9819 7.2902 8.6361 Å, 90.00 103.33 90.00°
Sites, in units of the cell vectors:
1 Tb 0.6213 0.9158 0.2427
2 Tb 0.3787 0.4158 0.7573
3 Dy 0.0317 0.2479 0.0634
4 Dy 0.1880 0.5283 0.3759
5 Dy 0.8120 0.0283 0.6241
6 Dy 0.9683 0.7479 0.9366
7 Ir 0.5527 0.5474 0.1055
8 Ir 0.1953 0.1261 0.3907
9 Ir 0.8047 0.6261 0.6093
10 Ir 0.4473 0.0474 0.8945

## Properties
N(E_F): 4.85 states/eV/cell

---

B:
VASP calculation (PBE-GGA) on a relaxed TbDy2Ir2 crystal.

Cell: 4.7752 4.7752 6.0338 Å, 89.99 89.99 59.99°
Sites, in units of the cell vectors:
1 Tb 0.5000 0.0000 0.0000
2 Dy 0.8334 0.3334 0.6636
3 Dy 0.1666 0.6666 0.3364
4 Ir 0.8333 0.3333 0.1721
5 Ir 0.1667 0.6667 0.8279

## Properties
N(E_F): 3.11 states/eV/cell

---

The structure with the greatest stability is B.

---

A:
VASP calculation (PBE-GGA) on a relaxed TbDyIr2 crystal.

Cell: 3.3233 4.9375 9.8741 Å, 90.00 90.00 90.00°
Sites, in units of the cell vectors:
1 Tb 0.5000 0.2500 0.3745
2 Tb 0.5000 0.7500 0.6255
3 Dy 0.5000 0.2500 0.8754
4 Dy 0.5000 0.7500 0.1246
5 Ir 0.0000 0.2500 0.1239
6 Ir 0.0000 0.7500 0.8761
7 Ir 0.0000 0.2500 0.6260
8 Ir 0.0000 0.7500 0.3740

## Properties
N(E_F): 4.71 states/eV/cell

---

B:
VASP calculation (PBE-GGA) on a relaxed TbDyIr2 crystal.

Cell: 3.5902 4.7473 4.7473 Å, 90.00 90.00 90.00°
Sites, in units of the cell vectors:
1 Ir 0.0000 0.0000 0.5000
2 Ir 0.0000 0.5000 0.0000
3 Tb 0.5000 0.5000 0.5000
4 Dy 0.5000 0.0000 0.0000

## Properties
N(E_F): 0.67 states/eV/cell

---

The structure with the greatest stability is B.

---

A:
VASP calculation (PBE-GGA) on a relaxed Dy4Te3Ir crystal.

Cell: 4.2078 7.5861 7.5861 Å, 108.41 90.00 90.00°
Sites, in units of the cell vectors:
1 Te 0.0000 0.0000 0.5000
2 Te 0.5000 0.5000 0.5000
3 Te 0.0000 0.5000 0.0000
4 Ir 0.5000 0.0000 0.0000
5 Dy 0.0000 0.2087 0.2087
6 Dy 0.5000 0.7724 0.2276
7 Dy 0.0000 0.7913 0.7913
8 Dy 0.5000 0.2276 0.7724

## Properties
N(E_F): 5.70 states/eV/cell

---

B:
VASP calculation (PBE-GGA) on a relaxed Dy4Te3Ir crystal.

Cell: 6.0654 9.1295 9.9809 Å, 90.00 90.00 90.00°
Sites, in units of the cell vectors:
1 Dy 0.0644 0.8586 0.0000
2 Dy 0.5646 0.1480 0.0000
3 Dy 0.0644 0.3086 0.2132
4 Dy 0.5644 0.6914 0.2868
5 Dy 0.0646 0.8520 0.5000
6 Dy 0.5644 0.1414 0.5000
7 Dy 0.5644 0.6914 0.7132
8 Dy 0.0644 0.3086 0.7868
9 Te 0.5644 0.8104 0.0000
10 Te 0.0643 0.6506 0.2463
11 Te 0.5643 0.3494 0.2537
12 Te 0.0644 0.1896 0.5000
13 Te 0.5643 0.3494 0.7463
14 Te 0.0643 0.6506 0.7537
15 Ir 0.0645 0.1437 0.0000
16 Ir 0.5645 0.8563 0.5000

## Properties
N(E_F): 17.96 states/eV/cell

---

The structure with the greatest stability is A.

---

A:
VASP calculation (PBE-GGA) on a relaxed Dy2TeIr crystal.

Cell: 3.6022 3.6022 7.3772 Å, 90.00 90.00 90.00°
Sites, in units of the cell vectors:
1 Ir 0.5000 0.5000 0.0000
2 Te 0.5000 0.5000 0.5000
3 Dy 0.0000 0.0000 0.7786
4 Dy 0.0000 0.0000 0.2214

## Properties
N(E_F): 2.12 states/eV/cell

---

B:
VASP calculation (PBE-GGA) on a relaxed Dy2TeIr crystal.

Cell: 4.1305 4.1305 7.6083 Å, 90.02 105.74 120.00°
Sites, in units of the cell vectors:
1 Dy 0.5282 0.2641 0.7923
2 Dy 0.4718 0.7359 0.2077
3 Te 0.0000 0.5000 0.5000
4 Ir 0.0000 0.0000 0.0000

## Properties
N(E_F): 2.84 states/eV/cell

---

The structure with the greatest stability is B.

---

A:
VASP calculation (PBE-GGA) on a relaxed Dy3Te2Ir crystal.

Cell: 7.4869 7.4869 13.4186 Å, 100.85 100.85 108.98°
Sites, in units of the cell vectors:
1 Dy 0.1621 0.6968 0.8182
2 Dy 0.6561 0.1214 0.8182
3 Dy 0.0879 0.0532 0.6818
4 Dy 0.5939 0.6286 0.6818
5 Dy 0.0387 0.5387 0.5000
6 Dy 0.4613 0.9613 0.5000
7 Dy 0.3714 0.4061 0.3182
8 Dy 0.9468 0.9121 0.3182
9 Dy 0.8786 0.3439 0.1818
10 Dy 0.3032 0.8379 0.1818
11 Dy 0.2113 0.2113 0.0000
12 Dy 0.7887 0.7887 0.0000
13 Te 0.9947 0.4947 0.9894
14 Te 0.4212 0.4212 0.8424
15 Te 0.8288 0.3288 0.6576
16 Te 0.2553 0.2553 0.5106
17 Te 0.7447 0.7447 0.4894
18 Te 0.6712 0.1712 0.3424
19 Te 0.5788 0.5788 0.1576
20 Te 0.5053 0.0053 0.0106
21 Ir 0.9166 0.9166 0.8333
22 Ir 0.3334 0.8334 0.6667
23 Ir 0.1666 0.6666 0.3333
24 Ir 0.0834 0.0834 0.1667

## Properties
N(E_F): 12.51 states/eV/cell

---

B:
VASP calculation (PBE-GGA) on a relaxed Dy3Te2Ir crystal.

Cell: 4.1751 6.0095 7.9209 Å, 112.29 90.00 90.00°
Sites, in units of the cell vectors:
1 Dy 0.5000 0.8771 0.7541
2 Dy 0.5000 0.1229 0.2459
3 Dy 0.0000 0.5000 0.0000
4 Te 0.5000 0.3399 0.6798
5 Te 0.5000 0.6601 0.3202
6 Ir 0.0000 0.0000 0.0000

## Properties
N(E_F): 6.05 states/eV/cell

---

The structure with the greatest stability is A.

---

A:
VASP calculation (PBE-GGA) on a relaxed Dy5Te2Ir crystal.

Cell: 4.1323 8.1877 13.1262 Å, 90.00 90.00 90.00°
Sites, in units of the cell vectors:
1 Dy 0.0000 0.0000 0.5000
2 Dy 0.0000 0.5000 0.0000
3 Dy 0.0000 0.8367 0.1850
4 Dy 0.0000 0.1633 0.8150
5 Dy 0.0000 0.6633 0.6850
6 Dy 0.0000 0.3367 0.3150
7 Dy 0.5000 0.6702 0.4158
8 Dy 0.5000 0.3298 0.5843
9 Dy 0.5000 0.8298 0.9158
10 Dy 0.5000 0.1702 0.0842
11 Te 0.5000 0.5408 0.1783
12 Te 0.5000 0.4592 0.8217
13 Te 0.5000 0.9592 0.6783
14 Te 0.5000 0.0408 0.3217
15 Ir 0.0000 0.5000 0.5000
16 Ir 0.0000 0.0000 0.0000

## Properties
N(E_F): 14.87 states/eV/cell

---

B:
VASP calculation (PBE-GGA) on a relaxed Dy5Te2Ir crystal.

Cell: 5.5740 8.0257 13.2607 Å, 90.00 90.00 110.32°
Sites, in units of the cell vectors:
1 Dy 0.9158 0.8317 0.8839
2 Dy 0.9158 0.8317 0.6161
3 Dy 0.3075 0.6151 0.4460
4 Dy 0.3075 0.6151 0.0540
5 Dy 0.7103 0.4206 0.2500
6 Dy 0.2897 0.5794 0.7500
7 Dy 0.6925 0.3849 0.5540
8 Dy 0.6925 0.3849 0.9460
9 Dy 0.0842 0.1683 0.1161
10 Dy 0.0842 0.1683 0.3839
11 Te 0.8765 0.7530 0.3928
12 Te 0.8765 0.7530 0.1072
13 Te 0.1235 0.2470 0.6072
14 Te 0.1235 0.2470 0.8928
15 Ir 0.7837 0.5673 0.7500
16 Ir 0.2163 0.4327 0.2500

## Properties
N(E_F): 14.87 states/eV/cell

---

The structure with the greatest stability is A.